# 1
BaLi3Mg: optimized geometry, PBE-GGA.

CIF file:
```
data_BaLi3Mg
_cell_length_a 6.0189
_cell_length_b 6.8282
_cell_length_c 7.9907
_cell_angle_alpha 115.29
_cell_angle_beta 90.00
_cell_angle_gamma 90.00
_space_group_name_H-M_alt 'P 1'
_space_group_IT_number 1
loop_
_space_group_symop_operation_xyz
'x,y,z'
loop_
_atom_site_label
_atom_site_type_symbol
_atom_site_fract_x
_atom_site_fract_y
_atom_site_fract_z
Li1 Li 0.7500 0.0550 0.6843
Li2 Li 0.7500 0.6293 0.6843
Li3 Li 0.7500 0.1893 0.3787
Li4 Li 0.2500 0.9450 0.3157
Li5 Li 0.2500 0.8107 0.6213
Li6 Li 0.2500 0.3707 0.3157
Ba1 Ba 0.2500 0.4004 0.8008
Ba2 Ba 0.7500 0.5996 0.1992
Mg1 Mg 0.5000 0.0000 0.0000
Mg2 Mg 0.0000 0.0000 0.0000
```

Results
calculated formation energy	0.039	eV per formula unit
Fermi-level density of states	7.33	states/eV/cell
excess energy over the best structure of this formula in the dataset	0	meV/atom
space group	Cmcm (63)

***

# 2
Dy3Cd2Ag4: optimized geometry, PBE-GGA.

CIF file:
```
data_Dy3Cd2Ag4
_cell_length_a 5.0502
_cell_length_b 5.0481
_cell_length_c 9.1775
_cell_angle_alpha 90.51
_cell_angle_beta 90.00
_cell_angle_gamma 120.01
_space_group_name_H-M_alt 'P 1'
_space_group_IT_number 1
loop_
_space_group_symop_operation_xyz
'x,y,z'
loop_
_atom_site_label
_atom_site_type_symbol
_atom_site_fract_x
_atom_site_fract_y
_atom_site_fract_z
Ag1 Ag 0.6674 0.3347 0.0770
Ag2 Ag 0.3326 0.6653 0.9230
Ag3 Ag 0.0014 0.0028 0.6583
Ag4 Ag 0.9986 0.9972 0.3417
Dy1 Dy 0.6658 0.3316 0.4019
Dy2 Dy 0.3342 0.6684 0.5981
Dy3 Dy 0.0000 0.0000 0.0000
Cd1 Cd 0.3312 0.6624 0.2347
Cd2 Cd 0.6688 0.3376 0.7653
```

Results
calculated formation energy	-2.254	eV per formula unit
Fermi-level density of states	5.64	states/eV/cell
excess energy over the best structure of this formula in the dataset	31	meV/atom
space group	C2/m (12)

***

# 3
Y2H2Pb: optimized geometry, PBE-GGA.

CIF file:
```
data_Y2H2Pb
_cell_length_a 4.0055
_cell_length_b 4.0055
_cell_length_c 6.1838
_cell_angle_alpha 71.10
_cell_angle_beta 71.10
_cell_angle_gamma 90.00
_space_group_name_H-M_alt 'P 1'
_space_group_IT_number 1
loop_
_space_group_symop_operation_xyz
'x,y,z'
loop_
_atom_site_label
_atom_site_type_symbol
_atom_site_fract_x
_atom_site_fract_y
_atom_site_fract_z
Pb1 Pb 0.0000 0.0000 0.0000
H1 H 0.2500 0.7500 0.5000
H2 H 0.7500 0.2500 0.5000
Y1 Y 0.6548 0.6548 0.6905
Y2 Y 0.3452 0.3452 0.3095
```

Results
raw total energy	-5.32	eV per atom
Fermi-level density of states	0.84	states/eV/cell
space group	I4/mmm (139)

***

# 4
LaGdCdIr: optimized geometry, PBE-GGA.

CIF file:
```
data_LaGdCdIr
_cell_length_a 5.1963
_cell_length_b 5.1963
_cell_length_c 5.1963
_cell_angle_alpha 60.00
_cell_angle_beta 60.00
_cell_angle_gamma 60.00
_space_group_name_H-M_alt 'P 1'
_space_group_IT_number 1
loop_
_space_group_symop_operation_xyz
'x,y,z'
loop_
_atom_site_label
_atom_site_type_symbol
_atom_site_fract_x
_atom_site_fract_y
_atom_site_fract_z
Ir1 Ir 0.2500 0.2500 0.2500
La1 La 0.0000 0.0000 0.0000
Cd1 Cd 0.7500 0.7500 0.7500
Gd1 Gd 0.5000 0.5000 0.5000
```

Results
calculated formation energy	-1.815	eV per formula unit
Fermi-level density of states	2.50	states/eV/cell
space group	F-43m (216)

***

# 5
CeNdLuGa: optimized geometry, PBE-GGA.

CIF file:
```
data_CeNdLuGa
_cell_length_a 5.3520
_cell_length_b 5.3520
_cell_length_c 5.3520
_cell_angle_alpha 60.00
_cell_angle_beta 60.00
_cell_angle_gamma 60.00
_space_group_name_H-M_alt 'P 1'
_space_group_IT_number 1
loop_
_space_group_symop_operation_xyz
'x,y,z'
loop_
_atom_site_label
_atom_site_type_symbol
_atom_site_fract_x
_atom_site_fract_y
_atom_site_fract_z
Ce1 Ce 0.5000 0.5000 0.5000
Ga1 Ga 0.2500 0.2500 0.2500
Nd1 Nd 0.0000 0.0000 0.0000
Lu1 Lu 0.7500 0.7500 0.7500
```

Results
calculated formation energy	-0.320	eV per formula unit
Fermi-level density of states	9.34	states/eV/cell
space group	F-43m (216)

***

# 6
KV2FeCl8: optimized geometry, PBE-GGA.

CIF file:
```
data_KV2FeCl8
_cell_length_a 6.2836
_cell_length_b 6.0003
_cell_length_c 7.6557
_cell_angle_alpha 89.99
_cell_angle_beta 89.99
_cell_angle_gamma 85.38
_space_group_name_H-M_alt 'P 1'
_space_group_IT_number 1
loop_
_space_group_symop_operation_xyz
'x,y,z'
loop_
_atom_site_label
_atom_site_type_symbol
_atom_site_fract_x
_atom_site_fract_y
_atom_site_fract_z
V1 V 0.5000 0.5000 0.7577
V2 V 0.5000 0.5000 0.2423
Cl1 Cl 0.8273 0.2542 0.7865
Cl2 Cl 0.1727 0.7458 0.2135
Cl3 Cl 0.6284 0.7016 0.5000
Cl4 Cl 0.3547 0.2801 0.0000
Cl5 Cl 0.1728 0.7459 0.7866
Cl6 Cl 0.3716 0.2984 0.5000
Cl7 Cl 0.6453 0.7199 0.0000
Cl8 Cl 0.8272 0.2541 0.2134
K1 K 0.0000 0.0000 0.5000
Fe1 Fe 0.0000 0.0000 0.0000
```

Results
uncorrected formation energy	-1.09	eV/atom
Fermi-level density of states	16.56	states/eV/cell
space group	P2/m (10)

***

# 7
KZrW: optimized geometry, PBE-GGA.

CIF file:
```
data_KZrW
_cell_length_a 8.5550
_cell_length_b 8.5550
_cell_length_c 8.5550
_cell_angle_alpha 160.67
_cell_angle_beta 156.56
_cell_angle_gamma 30.56
_space_group_name_H-M_alt 'P 1'
_space_group_IT_number 1
loop_
_space_group_symop_operation_xyz
'x,y,z'
loop_
_atom_site_label
_atom_site_type_symbol
_atom_site_fract_x
_atom_site_fract_y
_atom_site_fract_z
W1 W 0.3089 0.3089 0.0000
Zr1 Zr 0.7046 0.7046 0.0000
K1 K 0.9865 0.9865 0.0000
```

Results
calculated formation energy	3.026	eV per formula unit
Fermi-level density of states	3.34	states/eV/cell
excess energy over the best structure of this formula in the dataset	143	meV/atom
space group	Imm2 (44)

***

# 8
Cs2HfCr: optimized geometry, PBE-GGA.

CIF file:
```
data_Cs2HfCr
_cell_length_a 6.2906
_cell_length_b 6.2906
_cell_length_c 6.2906
_cell_angle_alpha 60.00
_cell_angle_beta 60.00
_cell_angle_gamma 60.00
_space_group_name_H-M_alt 'P 1'
_space_group_IT_number 1
loop_
_space_group_symop_operation_xyz
'x,y,z'
loop_
_atom_site_label
_atom_site_type_symbol
_atom_site_fract_x
_atom_site_fract_y
_atom_site_fract_z
Cr1 Cr 0.0000 0.0000 0.0000
Hf1 Hf 0.5000 0.5000 0.5000
Cs1 Cs 0.7500 0.7500 0.7500
Cs2 Cs 0.2500 0.2500 0.2500
```

Results
calculated formation energy	6.958	eV per formula unit
Fermi-level density of states	4.24	states/eV/cell
space group	Fm-3m (225)

***

# 9
CoAs2AuBr: optimized geometry, PBE-GGA.

CIF file:
```
data_CoAs2AuBr
_cell_length_a 4.5097
_cell_length_b 4.5097
_cell_length_c 5.1502
_cell_angle_alpha 90.00
_cell_angle_beta 90.00
_cell_angle_gamma 90.00
_space_group_name_H-M_alt 'P 1'
_space_group_IT_number 1
loop_
_space_group_symop_operation_xyz
'x,y,z'
loop_
_atom_site_label
_atom_site_type_symbol
_atom_site_fract_x
_atom_site_fract_y
_atom_site_fract_z
Br1 Br 0.0000 0.0000 0.5000
As1 As 0.5000 0.0000 0.0000
As2 As 0.0000 0.5000 0.0000
Au1 Au 0.5000 0.5000 0.5000
Co1 Co 0.0000 0.0000 0.0000
```

Results
uncorrected formation energy	0.46	eV/atom
Fermi-level density of states	2.26	states/eV/cell
excess energy over the best structure of this formula in the dataset	0	meV/atom
space group	P4/mmm (123)

***

# 10
InSn2Hg2: optimized geometry, PBE-GGA.

CIF file:
```
data_InSn2Hg2
_cell_length_a 8.9687
_cell_length_b 8.9687
_cell_length_c 3.4173
_cell_angle_alpha 90.00
_cell_angle_beta 90.00
_cell_angle_gamma 90.00
_space_group_name_H-M_alt 'P 1'
_space_group_IT_number 1
loop_
_space_group_symop_operation_xyz
'x,y,z'
loop_
_atom_site_label
_atom_site_type_symbol
_atom_site_fract_x
_atom_site_fract_y
_atom_site_fract_z
Sn1 Sn 0.3638 0.1362 0.5000
Sn2 Sn 0.6362 0.8638 0.5000
Sn3 Sn 0.1362 0.6362 0.5000
Sn4 Sn 0.8638 0.3638 0.5000
In1 In 0.5000 0.5000 0.0000
In2 In 0.0000 0.0000 0.0000
Hg1 Hg 0.3376 0.8376 0.0000
Hg2 Hg 0.6624 0.1624 0.0000
Hg3 Hg 0.1624 0.3376 0.0000
Hg4 Hg 0.8376 0.6624 0.0000
```

Results
calculated formation energy	0.457	eV per formula unit
Fermi-level density of states	3.77	states/eV/cell
excess energy over the best structure of this formula in the dataset	0	meV/atom
space group	P4/mbm (127)